Record 1
LiAsSeBr2 | PBE | optimized geometry

Cell: 5.480 5.480 4.981 Å, 90.00 90.00 90.00°
Space group P4/mmm (No. 123)
Unique sites:
Li  0.000  0.000  0.000 x1
As  0.500  0.500  0.500 x1
Se  0.500  0.500  0.000 x1
Br  0.000  0.500  0.500 x2

Crystal system: tetragonal
Energy relative to the elements, uncorrected: -0.3141 eV/atom
Polymorph energy (0 for the lowest one): 0.000 eV per atom
Total energy: -2.99 eV/atom

---

Record 2
Sm2PaSb2N2 | PBE | optimized geometry

Cell: 4.395 4.395 16.354 Å, 90.00 90.00 90.00°
Space group I4/mmm (No. 139)
Unique sites:
Sm  0.000  0.000  0.111 x4
Pa  0.000  0.000  0.500 x2
Sb  0.000  0.000  0.308 x4
N  0.000  0.500  0.000 x4

Crystal system: tetragonal
Energy relative to the elements, uncorrected: -1.1378 eV/atom
Total energy: -7.40 eV/atom

---

Record 3
CaTi4Os2 | PBE | optimized geometry

Cell: 4.551 4.551 12.731 Å, 90.00 90.00 90.00°
Space group I4/mmm (No. 139)
Unique sites:
Ca  0.000  0.000  0.000 x2
Ti  0.000  0.000  0.202 x4
Ti  0.000  0.500  0.000 x4
Os  0.000  0.000  0.380 x4

Energy relative to the elements: 1.0721 eV per atom
Crystal system: tetragonal
Total energy: -6.93 eV/atom

---

Record 4
NdSc2Cd5 | PBE | optimized geometry

Cell: 5.093 5.093 14.438 Å, 90.00 90.00 90.00°
Space group I4/mmm (No. 139)
Unique sites:
Nd  0.000  0.000  0.000 x2
Sc  0.000  0.000  0.262 x4
Cd  0.000  0.000  0.500 x2
Cd  0.000  0.500  0.133 x8

Energy relative to the elements: -0.2840 eV per atom
Crystal system: tetragonal
Total energy: -3.03 eV/atom

---

Record 5
DyThAu2 | PBE | optimized geometry

Cell: 3.893 4.676 5.929 Å, 90.00 109.28 90.00°
Space group Pm (No. 6)
Unique sites:
Dy  0.000  0.000  0.000 x1
Th  0.274  0.500  0.549 x1
Au  0.548  0.500  0.096 x1
Au  0.728  0.000  0.457 x1

Energy relative to the elements: -0.7440 eV per atom
Crystal system: monoclinic
Polymorph energy (0 for the lowest one): 0.000 eV per atom
Total energy: -5.39 eV/atom

---

Record 6
CsRb4Cl5 | PBE | optimized geometry

Cell: 4.798 4.798 33.833 Å, 90.00 90.00 90.00°
Space group I4/mmm (No. 139)
Unique sites:
Cs  0.000  0.000  0.000 x2
Rb  0.000  0.000  0.201 x4
Rb  0.000  0.000  0.398 x4
Cl  0.000  0.000  0.103 x4
Cl  0.000  0.000  0.300 x4
Cl  0.000  0.000  0.500 x2

Crystal system: tetragonal
Energy relative to the elements, uncorrected: -1.9424 eV/atom
Total energy: -3.34 eV/atom

---

Record 7
Tm4ZnCu2Rh | PBE | optimized geometry

Cell: 4.8563 4.8563 23.8198 Å, 90.00 90.00 120.00°
Space group R-3m (No. 166, hexagonal axes)
Unique sites:
Tm  0.0000  0.0000  0.1214 x6
Tm  0.0000  0.0000  0.3720 x6
Zn  0.0000  0.0000  0.5000 x3
Cu  0.0000  0.0000  0.2456 x6
Rh  0.0000  0.0000  0.0000 x3

Energy relative to the elements: -0.4904 eV per atom
Crystal system: trigonal
Total energy: -4.83 eV/atom

---

Record 8
CsMn2AgCl8 | PBE | optimized geometry

Cell: 6.7336 6.7336 9.5456 Å, 90.00 90.00 120.00°
Space group P-3 (No. 147)
Unique sites:
Cs  0.0000  0.0000  0.0000 x1
Mn  0.3333  0.6667  0.7331 x2
Ag  0.0000  0.0000  0.5000 x1
Cl  0.0310  0.3287  0.6682 x6
Cl  0.3333  0.6667  0.9654 x2

Crystal system: trigonal
Energy relative to the elements, uncorrected: -1.0265 eV/atom
Total energy: -4.09 eV/atom

---

Please write out number 5 again, unchanged.
DyThAu2 | PBE | optimized geometry

Cell: 3.893 4.676 5.929 Å, 90.00 109.28 90.00°
Space group Pm (No. 6)
Unique sites:
Dy  0.000  0.000  0.000 x1
Th  0.274  0.500  0.549 x1
Au  0.548  0.500  0.096 x1
Au  0.728  0.000  0.457 x1

Energy relative to the elements: -0.7440 eV per atom
Crystal system: monoclinic
Polymorph energy (0 for the lowest one): 0.000 eV per atom
Total energy: -5.39 eV/atom

---

Question: Look up the total energy of the fourth one.
Answer: -3.03 eV/atom

---

Repeat the second record exactly.
Sm2PaSb2N2 | PBE | optimized geometry

Cell: 4.395 4.395 16.354 Å, 90.00 90.00 90.00°
Space group I4/mmm (No. 139)
Unique sites:
Sm  0.000  0.000  0.111 x4
Pa  0.000  0.000  0.500 x2
Sb  0.000  0.000  0.308 x4
N  0.000  0.500  0.000 x4

Crystal system: tetragonal
Energy relative to the elements, uncorrected: -1.1378 eV/atom
Total energy: -7.40 eV/atom